# 1
An optimized crystal structure of PrEr2CdAu4. Source: the Alexandria database, functional PBE.

Summary:
- V: 23.040 Å³/atom
- DFT formation energy: -557 kJ/mol of formula units
- SG: R-3m, No. 166

Unit cell a=4.989 b=4.989 c=9.023 alpha=73.95 beta=73.95 gamma=60.00
Sites, in units of the cell vectors:
Pr 0.000 0.000 0.000
Er 0.761 0.761 0.718
Er 0.239 0.239 0.282
Cd 0.500 0.500 0.500
Au 0.383 0.383 0.850
Au 0.879 0.879 0.363
Au 0.121 0.121 0.637
Au 0.617 0.617 0.150

---

# 2
An optimized crystal structure of Tb3Nd2DyY6. Source: the Alexandria database, functional PBE.

Summary:
- V: 32.501 Å³/atom
- DFT formation energy: 19 kJ/mol of formula units
- SG: C2/m, No. 12

Unit cell a=6.210 b=6.210 c=11.852 alpha=94.99 beta=94.99 gamma=119.96
Sites, in units of the cell vectors:
Tb 0.167 0.833 0.500
Tb 0.833 0.167 0.500
Tb 0.500 0.500 0.500
Nd 0.333 0.667 0.000
Nd 0.667 0.333 0.000
Dy 0.000 0.000 0.000
Y 0.916 0.583 0.748
Y 0.752 0.752 0.252
Y 0.084 0.417 0.252
Y 0.583 0.916 0.748
Y 0.248 0.248 0.748
Y 0.417 0.084 0.252

---

# 3
An optimized crystal structure of BaH2S2O8. Source: the Alexandria database, functional PBE.

Summary:
- V: 13.340 Å³/atom
- SG: P2_12_12_1, No. 19
- Energy: -6.00 eV per atom

Unit cell a=4.769 b=10.994 c=13.231 alpha=90.00 beta=90.00 gamma=90.00
Sites, in units of the cell vectors:
Ba 0.512 0.562 0.341
Ba 0.988 0.438 0.841
Ba 0.012 0.938 0.659
Ba 0.488 0.062 0.159
H 0.187 0.751 0.903
H 0.313 0.249 0.403
H 0.687 0.749 0.097
H 0.813 0.251 0.597
H 0.460 0.579 0.639
H 0.040 0.421 0.139
H 0.960 0.921 0.361
H 0.540 0.079 0.861
S 0.558 0.714 0.816
S 0.942 0.286 0.316
S 0.058 0.786 0.184
S 0.442 0.214 0.684
S 0.057 0.581 0.568
S 0.443 0.419 0.068
S 0.557 0.919 0.432
S 0.943 0.081 0.932
O 0.520 0.819 0.750
O 0.980 0.181 0.250
O 0.020 0.681 0.250
O 0.480 0.319 0.750
O 0.847 0.696 0.850
O 0.653 0.304 0.350
O 0.347 0.804 0.150
O 0.153 0.196 0.650
O 0.445 0.600 0.772
O 0.055 0.400 0.272
O 0.945 0.900 0.228
O 0.555 0.100 0.728
O 0.390 0.738 0.918
O 0.110 0.262 0.418
O 0.890 0.762 0.082
O 0.610 0.238 0.582
O 0.996 0.558 0.461
O 0.504 0.442 0.961
O 0.496 0.942 0.539
O 0.004 0.058 0.039
O 0.985 0.703 0.601
O 0.515 0.297 0.101
O 0.485 0.797 0.399
O 0.015 0.203 0.899
O 0.549 0.513 0.136
O 0.951 0.487 0.636
O 0.049 0.987 0.864
O 0.451 0.013 0.364
O 0.392 0.569 0.567
O 0.108 0.431 0.067
O 0.892 0.931 0.433
O 0.608 0.069 0.933

---

# 4
An optimized crystal structure of MgTlP2. Source: the Alexandria database, functional PBE.

Summary:
- V: 19.935 Å³/atom
- Energy above the lowest structure with this stoichiometry: 0.5209 eV per atom
- DFT formation energy: 159 kJ/mol of formula units
- SG: F-43m, No. 216

Unit cell a=4.831 b=4.831 c=4.831 alpha=60.00 beta=60.00 gamma=60.00
Sites, in units of the cell vectors:
Mg 0.500 0.500 0.500
P 0.000 0.000 0.000
P 0.250 0.250 0.250
Tl 0.750 0.750 0.750

---

# 5
An optimized crystal structure of Zr2ScPb. Source: the Alexandria database, functional PBE.

Summary:
- V: 23.230 Å³/atom
- DFT formation energy: -65 kJ/mol of formula units
- SG: I-4m2, No. 119

Unit cell a=5.743 b=5.743 c=5.743 alpha=135.12 beta=135.12 gamma=65.35
Sites, in units of the cell vectors:
Pb 0.500 0.500 0.000
Sc 0.750 0.250 0.500
Zr 0.000 0.000 0.000
Zr 0.250 0.750 0.500

---

# 6
An optimized crystal structure of In2SbW. Source: the Alexandria database, functional PBE.

Summary:
- V: 24.654 Å³/atom
- Formation energy without anion corrections: 420 meV/atom
- SG: Imm2, No. 44

Unit cell a=7.343 b=7.343 c=4.914 alpha=70.47 beta=70.47 gamma=23.32
Sites, in units of the cell vectors:
In 0.934 0.934 0.066
In 0.757 0.757 0.743
Sb 0.565 0.565 0.436
W 0.245 0.245 0.255

---

# 7
An optimized crystal structure of CrFeMo4. Source: the Alexandria database, functional PBE.

Summary:
- V: 16.249 Å³/atom
- DFT formation energy: 309 kJ/mol of formula units
- SG: F-43m, No. 216

Unit cell a=5.166 b=5.166 c=5.166 alpha=60.00 beta=60.00 gamma=60.00
Site moments in Bohr magnetons follow the coordinates.
Sites, in units of the cell vectors:
Cr 0.750 0.750 0.750  2.78
Fe 0.000 0.000 0.000  2.87
Mo 0.876 0.375 0.375  -0.12
Mo 0.375 0.375 0.876  -0.12
Mo 0.375 0.876 0.375  -0.12
Mo 0.375 0.375 0.375  -0.12

---

# 8
An optimized crystal structure of Th4CoNiSe2. Source: the Alexandria database, functional PBE.

Summary:
- V: 25.711 Å³/atom
- Formation energy without anion corrections: -939 meV/atom
- SG: P2/m, No. 10

Unit cell a=4.227 b=7.471 c=6.773 alpha=74.06 beta=90.00 gamma=90.00
Sites, in units of the cell vectors:
Th 0.000 0.713 0.752
Th 0.000 0.287 0.248
Th 0.500 0.713 0.243
Th 0.500 0.287 0.757
Co 0.500 0.500 0.000
Ni 0.000 0.500 0.500
Se 0.000 0.000 0.000
Se 0.500 0.000 0.500

---

# 9
An optimized crystal structure of LiSmTm4Se8. Source: the Alexandria database, functional PBE.

Summary:
- V: 29.028 Å³/atom
- Formation energy without anion corrections: -1766 meV/atom
- SG: R3m, No. 160

Unit cell a=8.275 b=8.275 c=8.354 alpha=60.31 beta=60.31 gamma=60.00
Sites, in units of the cell vectors:
Li 0.375 0.375 0.876
Sm 0.005 0.005 0.986
Tm 0.626 0.626 0.121
Tm 0.005 0.484 0.505
Tm 0.484 0.005 0.505
Tm 0.005 0.005 0.505
Se 0.249 0.765 0.737
Se 0.765 0.249 0.737
Se 0.249 0.249 0.737
Se 0.244 0.244 0.268
Se 0.753 0.228 0.267
Se 0.228 0.753 0.267
Se 0.753 0.753 0.267
Se 0.759 0.759 0.723

---

# 10
An optimized crystal structure of Na4PaO4. Source: the Alexandria database, functional PBE.

Summary:
- V: 22.962 Å³/atom
- Formation energy without anion corrections: -1902 meV/atom
- SG: I-42m, No. 121

Unit cell a=6.263 b=6.263 c=6.882 alpha=117.07 beta=117.07 gamma=90.00
Site moments in Bohr magnetons follow the coordinates.
Sites, in units of the cell vectors:
Na 0.500 0.000 0.000  0.00
Na 0.000 0.500 0.000  0.00
Na 0.374 0.374 0.748  0.01
Na 0.626 0.626 0.252  0.01
Pa 0.000 0.000 0.000  0.17
O 0.737 0.737 0.941  0.00
O 0.263 0.796 0.059  0.00
O 0.204 0.204 0.941  0.00
O 0.796 0.263 0.059  0.00

---

# 11
An optimized crystal structure of Ag3BiF8. Source: the Alexandria database, functional PBE.

Summary:
- V: 19.060 Å³/atom
- Formation energy without anion corrections: -1491 meV/atom
- SG: C222, No. 21

Unit cell a=6.361 b=6.361 c=7.086 alpha=90.00 beta=90.00 gamma=127.08
Site moments in Bohr magnetons follow the coordinates.
Sites, in units of the cell vectors:
Ag 0.000 0.500 0.243  0.32
Ag 0.500 0.500 0.000  0.48
Ag 0.500 0.000 0.757  0.32
Bi 0.500 0.500 0.500  0.00
F 0.704 0.296 0.500  0.07
F 0.689 0.311 0.000  0.19
F 0.710 0.792 0.740  0.06
F 0.792 0.710 0.260  0.06
F 0.208 0.290 0.260  0.06
F 0.290 0.208 0.740  0.06
F 0.311 0.689 0.000  0.19
F 0.296 0.704 0.500  0.07

---

# 12
An optimized crystal structure of TiSiIr3. Source: the Alexandria database, functional PBE.

Summary:
- V: 17.047 Å³/atom
- Energy above the lowest structure with this stoichiometry: 0.0000 eV per atom
- Formation energy without anion corrections: 334 meV/atom
- SG: Pm-3m, No. 221

Unit cell a=4.401 b=4.401 c=4.401 alpha=90.00 beta=90.00 gamma=90.00
Sites, in units of the cell vectors:
Si 0.000 0.000 0.000
Ir 0.000 0.500 0.000
Ir 0.000 0.000 0.500
Ir 0.500 0.000 0.000
Ti 0.500 0.500 0.500

---

Q: What is the formula in the tenth record?
A: Na4PaO4